[1]
A relaxed structure of MnFeBi2P. Source: Alexandria via LeMat-Bulk, functional PBE.

The space group is P4/mmm (No. 123) and the conventional cell measures 5.325, 5.325 and 4.171 Å, with angles of 90.00, 90.00 and 90.00 degrees. Symmetry generates all atoms from Mn at (0.000, 0.000, 0.000), Fe at (0.500, 0.500, 0.500), Bi at (0.000, 0.500, 0.000) and P at (0.000, 0.000, 0.500).

For the volume, the calculation gives 23.656 Å³/atom. The formation energy comes out at 720 meV per atom. For the total energy, the calculation gives -5.441 eV per atom.

[2]
A relaxed structure of Mn2FeBiPd. Source: Alexandria via LeMat-Bulk, functional PBE.

The space group is P4/mmm (No. 123) and the conventional cell measures 4.840, 4.840 and 4.691 Å, with angles of 90.00, 90.00 and 90.00 degrees. Symmetry generates all atoms from Mn at (0.000, 0.500, 0.000), Fe at (0.000, 0.000, 0.500), Bi at (0.500, 0.500, 0.500) and Pd at (0.000, 0.000, 0.000).

For the volume, the calculation gives 21.977 Å³/atom. The formation energy comes out at 752 meV per atom. For the total energy, the calculation gives -6.423 eV per atom.

[3]
A relaxed structure of MnFe2SiBi. Source: Alexandria via LeMat-Bulk, functional PBE.

The space group is P4/mmm (No. 123) and the conventional cell measures 4.449, 4.449 and 4.897 Å, with angles of 90.00, 90.00 and 90.00 degrees. Symmetry generates all atoms from Mn at (0.000, 0.000, 0.000), Fe at (0.000, 0.500, 0.000), Si at (0.500, 0.500, 0.500) and Bi at (0.000, 0.000, 0.500).

For the volume, the calculation gives 19.392 Å³/atom. For the total energy, the calculation gives -5.845 eV per atom. Its formation energy (no corrections) is 1.234 eV per atom.

[4]
A relaxed structure of TiMnFe2Bi. Source: Alexandria via LeMat-Bulk, functional PBE.

The space group is P4/mmm (No. 123) and the conventional cell measures 4.364, 4.364 and 5.321 Å, with angles of 90.00, 90.00 and 90.00 degrees. Symmetry generates all atoms from Ti at (0.000, 0.000, 0.000), Mn at (0.500, 0.500, 0.500), Fe at (0.000, 0.500, 0.000) and Bi at (0.000, 0.000, 0.500).

For the volume, the calculation gives 20.264 Å³/atom. The formation energy comes out at 1152 meV per atom. For the total energy, the calculation gives -6.422 eV per atom.

[5]
A relaxed structure of Fe2Bi2Mo. Source: Alexandria via LeMat-Bulk, functional PBE.

The space group is I4/mmm (No. 139) and the conventional cell measures 5.138, 5.138 and 7.822 Å, with angles of 90.00, 90.00 and 90.00 degrees. Symmetry generates all atoms from Fe at (0.000, 0.000, 0.138), Bi at (0.000, 0.500, 0.250) and Mo at (0.000, 0.000, 0.500).

For the volume, the calculation gives 20.649 Å³/atom. The formation energy comes out at 944 meV per atom. For the total energy, the calculation gives -6.160 eV per atom.

[6]
A relaxed structure of FeBiMo3. Source: Alexandria via LeMat-Bulk, functional PBE.

The space group is Pm-3m (No. 221) and the conventional cell measures 4.554, 4.554 and 4.554 Å, with angles of 90.00, 90.00 and 90.00 degrees. Symmetry generates all atoms from Fe at (0.000, 0.000, 0.000), Bi at (0.500, 0.500, 0.500) and Mo at (0.000, 0.000, 0.500).

For the volume, the calculation gives 18.892 Å³/atom. The formation energy comes out at 1069 meV per atom. For the total energy, the calculation gives -7.898 eV per atom. The calculation puts the distance to the lowest polymorph of the same formula at 0.0 meV/atom.

[7]
A relaxed structure of Fe2BiMo. Source: Alexandria via LeMat-Bulk, functional PBE.

The space group is I-42d (No. 122) and the conventional cell measures 4.212, 4.212 and 15.955 Å, with angles of 90.00, 90.00 and 90.00 degrees. Symmetry generates all atoms from Fe at (0.176, 0.250, 0.125), Bi at (0.000, 0.000, 0.500) and Mo at (0.000, 0.000, 0.000).

For the volume, the calculation gives 17.688 Å³/atom. The formation energy comes out at 1005 meV per atom. For the total energy, the calculation gives -6.904 eV per atom.

[8]
A relaxed structure of FeBi2Mo. Source: Alexandria via LeMat-Bulk, functional PBE.

The space group is I-42d (No. 122) and the conventional cell measures 7.688, 7.688 and 6.332 Å, with angles of 90.00, 90.00 and 90.00 degrees. Symmetry generates all atoms from Fe at (0.000, 0.000, 0.000), Bi at (0.225, 0.750, 0.125) and Mo at (0.000, 0.000, 0.500).

For the volume, the calculation gives 23.388 Å³/atom. The formation energy comes out at 1058 meV per atom. For the total energy, the calculation gives -5.706 eV per atom. The calculation puts the distance to the lowest polymorph of the same formula at 259.8 meV/atom.

[9]
A relaxed structure of FeBi2Mo. Source: Alexandria via LeMat-Bulk, functional PBE.

The space group is Fm-3m (No. 225) and the conventional cell measures 6.753, 6.753 and 6.753 Å, with angles of 90.00, 90.00 and 90.00 degrees. Symmetry generates all atoms from Fe at (0.000, 0.000, 0.000), Bi at (0.250, 0.250, 0.250) and Mo at (0.000, 0.000, 0.500).

For the volume, the calculation gives 19.249 Å³/atom. The formation energy comes out at 798 meV per atom. For the total energy, the calculation gives -5.966 eV per atom. The calculation puts the distance to the lowest polymorph of the same formula at 0.0 meV/atom.

[10]
A relaxed structure of NaFeBi2Mo. Source: Alexandria via LeMat-Bulk, functional PBE.

The space group is P4/mmm (No. 123) and the conventional cell measures 5.264, 5.264 and 4.580 Å, with angles of 90.00, 90.00 and 90.00 degrees. Symmetry generates all atoms from Na at (0.000, 0.000, 0.000), Fe at (0.500, 0.500, 0.500), Bi at (0.000, 0.500, 0.500) and Mo at (0.500, 0.500, 0.000).

For the volume, the calculation gives 25.382 Å³/atom. The formation energy comes out at 777 meV per atom. For the total energy, the calculation gives -4.898 eV per atom.

[11]
A relaxed structure of NbFeBi2Mo. Source: Alexandria via LeMat-Bulk, functional PBE.

The space group is P4/mmm (No. 123) and the conventional cell measures 5.030, 5.030 and 4.387 Å, with angles of 90.00, 90.00 and 90.00 degrees. Symmetry generates all atoms from Nb at (0.000, 0.000, 0.000), Fe at (0.500, 0.500, 0.500), Bi at (0.000, 0.500, 0.500) and Mo at (0.500, 0.500, 0.000).

For the volume, the calculation gives 22.197 Å³/atom. The formation energy comes out at 1212 meV per atom. For the total energy, the calculation gives -6.213 eV per atom.

[12]
A relaxed structure of FeBiMoRh2. Source: Alexandria via LeMat-Bulk, functional PBE.

The space group is P4/mmm (No. 123) and the conventional cell measures 4.660, 4.660 and 5.259 Å, with angles of 90.00, 90.00 and 90.00 degrees. Symmetry generates all atoms from Fe at (0.000, 0.000, 0.000), Bi at (0.500, 0.500, 0.000), Mo at (0.500, 0.500, 0.500) and Rh at (0.000, 0.500, 0.500).

For the volume, the calculation gives 22.843 Å³/atom. The formation energy comes out at 1646 meV per atom. For the total energy, the calculation gives -5.930 eV per atom.

[13]
A relaxed structure of FeBiMoSe2. Source: Alexandria via LeMat-Bulk, functional PBE.

The space group is P4/mmm (No. 123) and the conventional cell measures 4.931, 4.931 and 4.729 Å, with angles of 90.00, 90.00 and 90.00 degrees. Symmetry generates all atoms from Fe at (0.000, 0.000, 0.000), Bi at (0.500, 0.500, 0.000), Mo at (0.000, 0.000, 0.500) and Se at (0.000, 0.500, 0.500).

For the volume, the calculation gives 22.995 Å³/atom. For the total energy, the calculation gives -5.445 eV per atom. Its formation energy (no corrections) is 0.584 eV per atom.

[14]
A relaxed structure of FeBi2N. Source: Alexandria via LeMat-Bulk, functional PBE.

The space group is Fm-3m (No. 225) and the conventional cell measures 6.711, 6.711 and 6.711 Å, with angles of 90.00, 90.00 and 90.00 degrees. Symmetry generates all atoms from Fe at (0.000, 0.000, 0.000), Bi at (0.250, 0.250, 0.250) and N at (0.000, 0.000, 0.500).

For the volume, the calculation gives 18.891 Å³/atom. For the total energy, the calculation gives -4.895 eV per atom. Its formation energy (no corrections) is 1.243 eV per atom. The calculation puts the distance to the lowest polymorph of the same formula at 371.7 meV/atom.

[15]
A relaxed structure of FeBi2N. Source: Alexandria via LeMat-Bulk, functional PBE.

The space group is I-42d (No. 122) and the conventional cell measures 5.872, 5.872 and 10.781 Å, with angles of 90.00, 90.00 and 90.00 degrees. Symmetry generates all atoms from Fe at (0.000, 0.000, 0.000), Bi at (0.215, 0.250, 0.625) and N at (0.000, 0.000, 0.500).

For the volume, the calculation gives 23.231 Å³/atom. For the total energy, the calculation gives -5.266 eV per atom. Its formation energy (no corrections) is 0.871 eV per atom. The calculation puts the distance to the lowest polymorph of the same formula at 0.0 meV/atom.

[16]
A relaxed structure of FeBiN3. Source: Alexandria via LeMat-Bulk, functional PBE.

The space group is Pm-3m (No. 221) and the conventional cell measures 4.235, 4.235 and 4.235 Å, with angles of 90.00, 90.00 and 90.00 degrees. Symmetry generates all atoms from Fe at (0.000, 0.000, 0.000), Bi at (0.500, 0.500, 0.500) and N at (0.000, 0.500, 0.500).

For the volume, the calculation gives 15.190 Å³/atom. For the total energy, the calculation gives -5.134 eV per atom. Its formation energy (no corrections) is 2.330 eV per atom.

[17]
A relaxed structure of Fe2BiN. Source: Alexandria via LeMat-Bulk, functional PBE.

The space group is I-42d (No. 122) and the conventional cell measures 5.166, 5.166 and 9.067 Å, with angles of 90.00, 90.00 and 90.00 degrees. Symmetry generates all atoms from Fe at (0.110, 0.250, 0.125), Bi at (0.000, 0.000, 0.500) and N at (0.000, 0.000, 0.000).

For the volume, the calculation gives 15.127 Å³/atom. For the total energy, the calculation gives -6.976 eV per atom. Its formation energy (no corrections) is 0.307 eV per atom. The calculation puts the distance to the lowest polymorph of the same formula at 0.0 meV/atom.

[18]
A relaxed structure of FeBi3N. Source: Alexandria via LeMat-Bulk, functional PBE.

The space group is Pm-3m (No. 221) and the conventional cell measures 4.982, 4.982 and 4.982 Å, with angles of 90.00, 90.00 and 90.00 degrees. Symmetry generates all atoms from Fe at (0.000, 0.000, 0.000), Bi at (0.000, 0.000, 0.500) and N at (0.500, 0.500, 0.500).

For the volume, the calculation gives 24.733 Å³/atom. For the total energy, the calculation gives -4.344 eV per atom. Its formation energy (no corrections) is 1.343 eV per atom. The calculation puts the distance to the lowest polymorph of the same formula at 267.0 meV/atom.

[19]
A relaxed structure of FeBi2N2. Source: Alexandria via LeMat-Bulk, functional PBE.

The space group is I4/mmm (No. 139) and the conventional cell measures 4.010, 4.010 and 12.748 Å, with angles of 90.00, 90.00 and 90.00 degrees. Symmetry generates all atoms from Fe at (0.000, 0.000, 0.000), Bi at (0.000, 0.000, 0.341) and N at (0.000, 0.500, 0.250).

For the volume, the calculation gives 20.499 Å³/atom. For the total energy, the calculation gives -5.337 eV per atom. Its formation energy (no corrections) is 1.238 eV per atom. The calculation puts the distance to the lowest polymorph of the same formula at 0.0 meV/atom.

[20]
A relaxed structure of FeBi2N2. Source: Alexandria via LeMat-Bulk, functional PBE.

The space group is P4/mbm (No. 127) and the conventional cell measures 7.391, 7.391 and 3.394 Å, with angles of 90.00, 90.00 and 90.00 degrees. Symmetry generates all atoms from Fe at (0.000, 0.000, 0.000), Bi at (0.165, 0.335, 0.000) and N at (0.192, 0.692, 0.500).

For the volume, the calculation gives 18.538 Å³/atom. For the total energy, the calculation gives -5.256 eV per atom. Its formation energy (no corrections) is 1.319 eV per atom. The calculation puts the distance to the lowest polymorph of the same formula at 81.4 meV/atom.